[1]
VASP calculation (PBE) on an optimized crystal structure of Sm3Ho5As8.

Cell: 8.2869 8.2869 8.2869 Å, 60.00 60.00 60.00°
With the nearest neighbours (Å) after each atom.
Fractional positions:
Sm 0.0000 0.5000 0.5000  6 As 2.96
Sm 0.5000 0.0000 0.5000  6 As 2.96
Sm 0.5000 0.5000 0.0000  6 As 2.96
Ho 0.0000 0.0000 0.0000  6 As 2.93
Ho 0.0000 0.0000 0.5000  6 As 2.90
Ho 0.0000 0.5000 0.0000  6 As 2.90
Ho 0.5000 0.0000 0.0000  6 As 2.90
Ho 0.5000 0.5000 0.5000  6 As 2.93
As 0.2453 0.7500 0.7500  4 Ho 2.90-2.93, 2 Sm 2.96
As 0.2476 0.2476 0.2476  3 Ho 2.90, 3 Sm 2.96
As 0.2500 0.2500 0.7547  4 Ho 2.90-2.93, 2 Sm 2.96
As 0.2500 0.7547 0.2500  4 Ho 2.90-2.93, 2 Sm 2.96
As 0.7500 0.2453 0.7500  4 Ho 2.90-2.93, 2 Sm 2.96
As 0.7500 0.7500 0.2453  4 Ho 2.90-2.93, 2 Sm 2.96
As 0.7524 0.7524 0.7524  3 Ho 2.90, 3 Sm 2.96
As 0.7547 0.2500 0.2500  4 Ho 2.90-2.93, 2 Sm 2.96

Values from the calculation:
total DFT energy (no corrections): -6.164 eV per atom
volume: 25.15 Å³/atom

[2]
VASP calculation (PBE) on an optimized crystal structure of Cu2TcAs.

Cell: 5.0085 5.0085 5.0085 Å, 137.91 137.91 61.04°
With the nearest neighbours (Å) after each atom.
Fractional positions:
Cu 0.2500 0.7500 0.5000  4 Cu 2.54, 4 As 2.81, 4 Tc 2.81
Cu 0.7500 0.2500 0.5000  4 Cu 2.54, 4 As 2.81, 4 Tc 2.81
Tc 0.0000 0.0000 0.0000  4 As 2.54, 8 Cu 2.81
As 0.5000 0.5000 0.0000  4 Tc 2.54, 8 Cu 2.81

Values from the calculation:
total DFT energy (no corrections): -5.531 eV per atom
volume: 13.96 Å³/atom

[3]
VASP calculation (PBE) on an optimized crystal structure of Dy2AgPd2.

Cell: 7.6563 7.6563 3.7019 Å, 90.00 90.00 90.00°
With the nearest neighbours (Å) after each atom.
Fractional positions:
Dy 0.1711 0.3289 0.0000  6 Pd 2.84-2.97
Dy 0.3289 0.8289 0.0000  6 Pd 2.84-2.97
Dy 0.6711 0.1711 0.0000  6 Pd 2.84-2.97
Dy 0.8289 0.6711 0.0000  6 Pd 2.84-2.97
Ag 0.0000 0.0000 0.5000  4 Pd 3.00
Ag 0.5000 0.5000 0.5000  4 Pd 3.00
Pd 0.1301 0.6301 0.5000  1 Pd 2.82, 6 Dy 2.84-2.97, 2 Ag 3.00
Pd 0.3699 0.1301 0.5000  1 Pd 2.82, 6 Dy 2.84-2.97, 2 Ag 3.00
Pd 0.6301 0.8699 0.5000  1 Pd 2.82, 6 Dy 2.84-2.97, 2 Ag 3.00
Pd 0.8699 0.3699 0.5000  1 Pd 2.82, 6 Dy 2.84-2.97, 2 Ag 3.00

Values from the calculation:
total DFT energy (no corrections): -5.244 eV per atom
volume: 21.70 Å³/atom

[4]
VASP calculation (PBE) on an optimized crystal structure of Ba2LiNpO6.

Cell: 6.0007 6.0007 6.0386 Å, 120.19 120.19 59.81°
With the nearest neighbours (Å) after each atom.
Fractional positions:
Ba 0.2489 0.2489 0.2477  7 O 2.79-3.00
Ba 0.7511 0.7511 0.7523  7 O 2.79-3.00
Li 0.5000 0.5000 0.0000  6 O 2.24
Np 0.0000 0.0000 0.5000  6 O 2.03
O 0.2180 0.7412 0.2423  1 Np 2.03, 1 Li 2.24
O 0.2376 0.2376 0.6980  1 Np 2.03, 1 Li 2.24
O 0.2588 0.7820 0.7577  1 Np 2.03, 1 Li 2.24
O 0.7412 0.2180 0.2423  1 Np 2.03, 1 Li 2.24
O 0.7624 0.7624 0.3020  1 Np 2.03, 1 Li 2.24
O 0.7820 0.2588 0.7577  1 Np 2.03, 1 Li 2.24

Values from the calculation:
total DFT energy (no corrections): -7.567 eV per atom
volume: 15.31 Å³/atom
E_form (uncorrected): -2.723 eV/atom